# 1
Computed, not measured: SmNpBi2 after structural relaxation at the GGA-PBE level of DFT.

- energy above the lowest structure with this stoichiometry (meV per atom) = 0
- DFT total energy (eV per atom) = -6.75
- calculated formation energy (meV per atom) = -398

Structure (POSCAR):
```
SmNpBi2
1.0
2.2597 1.3047 7.4602
-2.2597 1.3047 7.4602
0.0000 -2.6093 7.4602
Sm Np Bi
1 1 2
Cartesian
0.0000 0.0000 0.0000 Sm
0.0000 0.0000 11.1903 Np
0.0000 0.0000 5.5703 Bi
0.0000 0.0000 16.8104 Bi
```



# 2
Computed, not measured: NpSnBi2 after structural relaxation at the GGA-PBE level of DFT.

- energy above the lowest structure with this stoichiometry (meV per atom) = 249
- DFT total energy (eV per atom) = -5.94
- calculated formation energy (meV per atom) = 237

Structure (POSCAR):
```
NpSnBi2
1.0
2.4705 1.4263 6.4000
-2.4705 1.4263 6.4000
0.0000 -2.8526 6.4000
Np Sn Bi
1 1 2
Cartesian
0.0000 0.0000 0.0000 Np
0.0000 0.0000 3.3786 Sn
0.0000 0.0000 7.8442 Bi
0.0000 0.0000 11.2901 Bi
```



# 3
Computed, not measured: Np2SnBi after structural relaxation at the GGA-PBE level of DFT.

- energy above the lowest structure with this stoichiometry (meV per atom) = 0
- DFT total energy (eV per atom) = -8.38
- calculated formation energy (meV per atom) = 60

Structure (POSCAR):
```
Np2SnBi
1.0
3.4177 0.0000 0.0000
0.0000 3.4177 0.0000
0.0000 0.0000 9.1456
Np Sn Bi
2 1 1
Cartesian
0.0000 0.0000 2.2197 Np
0.0000 0.0000 6.9259 Np
1.7089 1.7089 0.0000 Sn
1.7089 1.7089 4.5728 Bi
```



# 4
Computed, not measured: NpSn2Bi after structural relaxation at the GGA-PBE level of DFT.

- energy above the lowest structure with this stoichiometry (meV per atom) = 204
- DFT total energy (eV per atom) = -6.06
- calculated formation energy (meV per atom) = 142

Structure (POSCAR):
```
NpSn2Bi
1.0
1.6620 0.9596 11.7416
-1.6620 0.9596 11.7416
0.0000 -1.9191 11.7416
Np Sn Bi
1 2 1
Cartesian
0.0000 0.0000 0.0000 Np
0.0000 0.0000 14.4469 Sn
0.0000 0.0000 20.7778 Sn
0.0000 0.0000 17.6124 Bi
```



# 5
Computed, not measured: NpSn2Bi after structural relaxation at the GGA-PBE level of DFT.

- energy above the lowest structure with this stoichiometry (meV per atom) = 148
- DFT total energy (eV per atom) = -6.12
- calculated formation energy (meV per atom) = 86

Structure (POSCAR):
```
NpSn2Bi
1.0
4.1226 0.0000 0.0000
0.0000 4.1226 0.0000
0.0000 0.0000 6.4416
Np Sn Bi
1 2 1
Cartesian
0.0000 0.0000 0.0000 Np
2.0613 2.0613 1.5742 Sn
2.0613 2.0613 4.8673 Sn
0.0000 0.0000 3.2208 Bi
```



# 6
Computed, not measured: NpSnBi2 after structural relaxation at the GGA-PBE level of DFT.

- energy above the lowest structure with this stoichiometry (meV per atom) = 0
- DFT total energy (eV per atom) = -6.19
- calculated formation energy (meV per atom) = -13

Structure (POSCAR):
```
NpSnBi2
1.0
4.8940 0.0000 0.0000
0.0000 4.8940 0.0000
0.0000 0.0000 4.7138
Np Sn Bi
1 1 2
Cartesian
0.0000 0.0000 0.0000 Np
2.4470 2.4470 0.0000 Sn
0.0000 2.4470 2.3569 Bi
2.4470 0.0000 2.3569 Bi
```



# 7
Computed, not measured: NpSn2Bi after structural relaxation at the GGA-PBE level of DFT.

- energy above the lowest structure with this stoichiometry (meV per atom) = 0
- DFT total energy (eV per atom) = -6.27
- calculated formation energy (meV per atom) = -62

Structure (POSCAR):
```
NpSn2Bi
1.0
4.6741 0.0000 0.0000
0.0000 4.6741 0.0000
0.0000 0.0000 4.8814
Np Sn Bi
1 2 1
Cartesian
0.0000 0.0000 0.0000 Np
0.0000 2.3370 2.4407 Sn
2.3370 0.0000 2.4407 Sn
2.3370 2.3370 0.0000 Bi
```



# 8
Computed, not measured: NpSnBi2 after structural relaxation at the GGA-PBE level of DFT.

- energy above the lowest structure with this stoichiometry (meV per atom) = 176
- DFT total energy (eV per atom) = -6.01
- calculated formation energy (meV per atom) = 164

Structure (POSCAR):
```
NpSnBi2
1.0
1.6908 0.9762 12.0881
-1.6908 0.9762 12.0881
0.0000 -1.9524 12.0881
Np Sn Bi
1 1 2
Cartesian
0.0000 0.0000 0.0000 Np
0.0000 0.0000 18.1322 Sn
0.0000 0.0000 14.8677 Bi
0.0000 0.0000 21.3967 Bi
```



# 9
Computed, not measured: NpSnBi2 after structural relaxation at the GGA-PBE level of DFT.

- energy above the lowest structure with this stoichiometry (meV per atom) = 47
- DFT total energy (eV per atom) = -6.14
- calculated formation energy (meV per atom) = 34

Structure (POSCAR):
```
NpSnBi2
1.0
4.2216 0.0000 0.0000
0.0000 4.2216 0.0000
0.0000 0.0000 6.5151
Np Sn Bi
1 1 2
Cartesian
0.0000 0.0000 0.0000 Np
0.0000 0.0000 3.2576 Sn
2.1108 2.1108 1.5848 Bi
2.1108 2.1108 4.9304 Bi
```



# 10
Computed, not measured: Np2SnBi after structural relaxation at the GGA-PBE level of DFT.

- energy above the lowest structure with this stoichiometry (meV per atom) = 91
- DFT total energy (eV per atom) = -8.29
- calculated formation energy (meV per atom) = 151

Structure (POSCAR):
```
Np2SnBi
1.0
0.0000 3.7865 3.7865
3.7865 0.0000 3.7865
3.7865 3.7865 0.0000
Np Sn Bi
2 1 1
Cartesian
1.8932 1.8932 1.8932 Np
5.6797 5.6797 5.6797 Np
0.0000 0.0000 0.0000 Sn
3.7865 3.7865 3.7865 Bi
```



# 11
Computed, not measured: Np2SnBi after structural relaxation at the GGA-PBE level of DFT.

- energy above the lowest structure with this stoichiometry (meV per atom) = 5
- DFT total energy (eV per atom) = -8.38
- calculated formation energy (meV per atom) = 66

Structure (POSCAR):
```
Np2SnBi
1.0
4.8489 0.0000 0.0000
0.0000 4.8489 0.0000
0.0000 0.0000 4.5463
Np Sn Bi
2 1 1
Cartesian
0.0000 2.4244 0.0000 Np
2.4244 0.0000 0.0000 Np
0.0000 0.0000 2.2732 Sn
2.4244 2.4244 2.2732 Bi
```



# 12
Computed, not measured: Tb4NpBi5 after structural relaxation at the GGA-PBE level of DFT.

- DFT total energy (eV per atom) = -5.76
- calculated formation energy (meV per atom) = -676

Structure (POSCAR):
```
Tb4NpBi5
1.0
-2.2476 3.1798 11.2610
2.2476 -3.1798 11.2610
2.2476 3.1798 -11.2610
Tb Np Bi
4 1 5
Cartesian
0.0000 0.0000 2.2682 Tb
0.0000 0.0000 6.7290 Tb
0.0000 0.0000 15.7930 Tb
0.0000 0.0000 20.2537 Tb
0.0000 0.0000 11.2610 Np
2.2476 0.0000 0.0000 Bi
2.2476 0.0000 4.5055 Bi
2.2476 0.0000 8.9981 Bi
0.0000 3.1798 2.2629 Bi
0.0000 3.1798 6.7554 Bi
```



# 13
Computed, not measured: Tb3NpBi4 after structural relaxation at the GGA-PBE level of DFT.

- DFT total energy (eV per atom) = -5.92
- calculated formation energy (meV per atom) = -624

Structure (POSCAR):
```
Tb3NpBi4
1.0
4.5102 -6.3576 0.0000
4.5102 6.3576 0.0000
0.0000 0.0000 4.4967
Tb Np Bi
3 1 4
Cartesian
0.0000 0.0000 0.0000 Tb
2.2551 3.1788 2.2484 Tb
2.2551 -3.1788 2.2484 Tb
4.5102 0.0000 0.0000 Np
2.2451 0.0000 2.2484 Bi
4.5102 3.1781 0.0000 Bi
4.5102 -3.1781 0.0000 Bi
6.7754 0.0000 2.2484 Bi
```



One value per record, in order, for density of states at the Fermi level: 12.0; 11.8; 13.6; 6.9; 9.2; 12.8; 12.7; 7.4; 9.4; 13.9; 13.5; 11.9; 11.6 states/eV/f.u..
One value per record, in order, for M_tot: 3.97; 4.07; 9.44; 4.25; 4.23; 4.06; 4.04; 4.26; 4.38; 9.22; 9.50; 3.90; 3.95 μB/cell.